Here is a geometry-optimized Sc3SiS6 structure from Alexandria. Energies are from PBE-GGA.

## Properties
formation energy (no corrections): -1450 meV per atom
spin magnetization: 0.0 μB per cell
crystal system: orthorhombic
volume: 19.842 Å³ per atom
space group: Cmc2_1 (36)

Cell lengths 8.166, 8.166, 6.109 Å; angles 90.00, 90.00, 103.04 degrees
Element x y z (fractional)
Sc  0.085  0.915  0.500
Sc  0.223  0.404  0.619
Sc  0.404  0.223  0.119
Sc  0.596  0.777  0.619
Sc  0.777  0.596  0.119
Sc  0.915  0.085  0.000
Si  0.296  0.704  0.157
Si  0.704  0.296  0.657
S  0.064  0.610  0.326
S  0.119  0.206  0.307
S  0.206  0.119  0.807
S  0.291  0.709  0.809
S  0.390  0.936  0.326
S  0.453  0.547  0.294
S  0.547  0.453  0.794
S  0.610  0.064  0.826
S  0.709  0.291  0.309
S  0.794  0.881  0.307
S  0.881  0.794  0.807
S  0.936  0.390  0.826